1.
An optimized crystal structure of Sr2PIr, computed with GGA-PBE.

Total energy, Ry/atom: -0.326
Spin magnetization, μB per formula unit: 0.37
Crystal system: tetragonal
Space-group type: No. 119
Formation energy, eV/atom: -0.02

Lattice parameters (Å, degrees): 5.893 5.893 5.893 136.23 136.23 63.63
Last column: magnetic moment on the atom in μB.
Element x y z (fractional)
Sr: 0.000 0.000 0.000  0.00
Sr: 0.250 0.750 0.500  0.01
P: 0.750 0.250 0.500  0.04
Ir: 0.500 0.500 0.000  0.23

=====

2.
An optimized crystal structure of SrPIr2, computed with GGA-PBE.

Total energy, Ry/atom: -0.458
Spin magnetization, μB per formula unit: 0.00
Crystal system: tetragonal
Space-group type: No. 99
Formation energy, eV/atom: -0.03

Lattice parameters (Å, degrees): 3.139 3.139 7.348 90.00 90.00 90.00
Element x y z (fractional)
Ir: 0.000 0.000 0.048
Ir: 0.500 0.500 0.282
P: 0.000 0.000 0.427
Sr: 0.500 0.500 0.744

=====

3.
An optimized crystal structure of SrPIr2, computed with GGA-PBE.

Total energy, Ry/atom: -0.480
Spin magnetization, μB per formula unit: 0.00
Crystal system: monoclinic
Space-group type: No. 8
Formation energy, eV/atom: -0.32

Lattice parameters (Å, degrees): 4.804 4.804 5.518 73.04 73.04 45.00
Element x y z (fractional)
P: 0.545 0.545 0.347
Sr: 0.751 0.751 0.747
Ir: 0.241 0.241 0.242
Ir: 0.963 0.963 0.165

=====

4.
An optimized crystal structure of Sr2PIr, computed with GGA-PBE.

Total energy, Ry/atom: -0.375
Spin magnetization, μB per formula unit: 0.00
Crystal system: monoclinic
Space-group type: No. 11
Formation energy, eV/atom: -0.70

Lattice parameters (Å, degrees): 4.412 5.620 9.510 115.26 90.00 90.00
Element x y z (fractional)
Sr: 0.750 0.201 0.432
Sr: 0.250 0.799 0.568
Sr: 0.750 0.206 0.919
Sr: 0.250 0.794 0.081
Ir: 0.250 0.432 0.734
Ir: 0.750 0.568 0.266
P: 0.250 0.415 0.228
P: 0.750 0.585 0.772

=====

5.
An optimized crystal structure of SrP3Ir4, computed with GGA-PBE.

Total energy, Ry/atom: -0.539
Spin magnetization, μB per formula unit: 0.00
Crystal system: tetragonal
Space-group type: No. 123
Formation energy, eV/atom: -0.66

Lattice parameters (Å, degrees): 3.983 3.983 8.666 90.00 90.00 90.00
Element x y z (fractional)
Ir: 0.500 0.000 0.834
Ir: 0.000 0.500 0.166
Ir: 0.000 0.500 0.834
Ir: 0.500 0.000 0.166
Sr: 0.000 0.000 0.500
P: 0.500 0.500 0.692
P: 0.000 0.000 0.000
P: 0.500 0.500 0.308

=====

6.
An optimized crystal structure of SrP2Ir, computed with GGA-PBE.

Total energy, Ry/atom: -0.450
Spin magnetization, μB per formula unit: 0.00
Crystal system: monoclinic
Energy relative to the lowest polymorph listed for this composition, eV/atom: 0.0091
Space-group type: No. 10
Formation energy, eV/atom: -0.78

Lattice parameters (Å, degrees): 3.922 4.699 4.744 91.97 90.00 90.00
Element x y z (fractional)
P: 0.000 0.778 0.478
P: 0.000 0.722 0.022
Ir: 0.500 0.750 0.750
Sr: 0.500 0.250 0.250

=====

- Look up the formation energy of the fifth one.
  -0.66 eV/atom

=====

- Number 4 is which compound?
  Sr2PIr